An optimized crystal structure of Y2Er8In. Source: Alexandria, functional PBE-GGA.

It has space group C2/m (No. 12), with a = 17.8112 Å, b = 4.9123 Å, c = 7.8068 Å, α = 90.00°, β = 105.43° and γ = 90.00°. The distinct sites, in fractional coordinates, are Y at (0.2227, 0.0000, 0.1355), Er at (0.0440, 0.0000, 0.2240), Er at (0.0899, 0.5000, 0.9444), Er at (0.1342, 0.0000, 0.6748), Er at (0.1806, 0.5000, 0.4093) and In at (0.0000, 0.5000, 0.5000).

For the density of states at the Fermi level, the calculation gives 16.3 states/eV/f.u. The energy of formation from the pure elements is -0.059 eV/atom. For the volume, the calculation gives 29.93 A^3/atom. The calculation puts the electronic total energy at -52.8 eV/f.u.

An optimized crystal structure of BeHgSb2. Source: Alexandria, functional PBE-GGA.

It has space group P2/m (No. 10), with a = 5.2009 Å, b = 3.9601 Å, c = 5.4708 Å, α = 90.00°, β = 118.29° and γ = 90.00°. The distinct sites, in fractional coordinates, are Be at (0.0000, 0.0000, 0.0000), Hg at (0.5000, 0.0000, 0.0000) and Sb at (0.1674, 0.5000, 0.3346).

For the density of states at the Fermi level, the calculation gives 0.8 states/eV/f.u. The energy relative to the elements, uncorrected is 0.1868 eV per atom. For the volume, the calculation gives 24.81 A^3/atom. The calculation puts the electronic total energy at -11.5 eV/f.u.

An optimized crystal structure of Dy5CdTe2. Source: Alexandria, functional PBE-GGA.

It has space group Cmcm (No. 63), with a = 5.9547 Å, b = 12.6450 Å, c = 13.2074 Å, α = 90.00°, β = 90.00° and γ = 90.00°. The distinct sites, in fractional coordinates, are Dy at (0.0000, 0.0533, 0.1131), Dy at (0.0000, 0.3823, 0.0525), Dy at (0.0000, 0.3823, 0.7500), Cd at (0.0000, 0.2594, 0.2500) and Te at (0.0000, 0.1879, 0.5923).

For the density of states at the Fermi level, the calculation gives 10.0 states/eV/f.u. The energy relative to the elements, uncorrected is -0.4744 eV per atom. For the volume, the calculation gives 31.08 A^3/atom. The calculation puts the electronic total energy at -34.0 eV/f.u.

An optimized crystal structure of GaRe2Pt. Source: Alexandria, functional PBE-GGA.

It has space group I-42d (No. 122), with a = 5.7973 Å, b = 5.7973 Å, c = 10.7498 Å, α = 90.00°, β = 90.00° and γ = 90.00°. The distinct sites, in fractional coordinates, are Ga at (0.0000, 0.0000, 0.0000), Re at (0.2405, 0.2500, 0.6250) and Pt at (0.0000, 0.0000, 0.5000).

For the density of states at the Fermi level, the calculation gives 5.5 states/eV/f.u. The energy of formation from the pure elements is 1.526 eV/atom. For the volume, the calculation gives 22.58 A^3/atom. The calculation puts the electronic total energy at -27.9 eV/f.u.

An optimized crystal structure of La2HgIrN. Source: Alexandria, functional PBE-GGA.

It has space group P4/mmm (No. 123), with a = 5.3911 Å, b = 5.3911 Å, c = 3.8784 Å, α = 90.00°, β = 90.00° and γ = 90.00°. The distinct sites, in fractional coordinates, are La at (0.0000, 0.5000, 0.0000), Hg at (0.0000, 0.0000, 0.5000), Ir at (0.5000, 0.5000, 0.5000) and N at (0.5000, 0.5000, 0.0000).

For the density of states at the Fermi level, the calculation gives 3.4 states/eV/f.u. The energy relative to the elements, uncorrected is -0.7253 eV per atom. For the volume, the calculation gives 22.54 A^3/atom. The calculation puts the electronic total energy at -31.0 eV/f.u.

An optimized crystal structure of Sr2CdTc. Source: Alexandria, functional PBE-GGA.

It has space group R3m (No. 160, hexagonal axes), with a = 4.6993 Å, b = 4.6993 Å, c = 22.5966 Å, α = 90.00°, β = 90.00° and γ = 120.00°. The distinct sites, in fractional coordinates, are Sr at (0.0000, 0.0000, 0.0000), Sr at (0.0000, 0.0000, 0.1771), Cd at (0.0000, 0.0000, 0.7554) and Tc at (0.0000, 0.0000, 0.4215).

For the density of states at the Fermi level, the calculation gives 5.8 states/eV/f.u. The energy of formation from the pure elements is 0.420 eV/atom. For the volume, the calculation gives 36.01 A^3/atom. The calculation puts the electronic total energy at -13.0 eV/f.u.

The lowest electronic total energy belongs to which entry?
Y2Er8In

Which of these has the highest electronic total energy?
BeHgSb2